[1]
CaCu2Bi | PBE | optimized geometry

Computed properties:
formation enthalpy at 0 K	32	meV per atom
total moment	0.00	μB/atom
mass density	5.932	Mg/m³
space group	I-42d

Cell and atoms, written as POSCAR:
```
CaCu2Bi
1.0
-2.782 0.044 3.829
2.774 -3.239 2.053
5.238 5.258 6.671
Cu Bi Ca
4 2 2
Direct
0.375 0.190 0.750
0.810 0.125 0.250
0.875 0.060 0.750
0.940 0.625 0.250
0.750 0.250 0.500
0.000 0.000 0.000
0.250 0.750 0.500
0.500 0.500 0.000
```


[2]
LiZnI2O8 | PBE | optimized geometry

Computed properties:
total moment	0.04	μB/atom
mass density	4.506	Mg/m³
DFT total energy	-4.2408	eV per atom
space group	I-4m2

Cell and atoms, written as POSCAR:
```
LiZnI2O8
1.0
-1.844 2.051 5.344
-4.691 -2.623 -2.699
4.467 -3.962 0.721
O Zn I Li
8 1 2 1
Direct
0.334 0.120 0.787
0.907 0.612 0.704
0.388 0.093 0.296
0.453 0.666 0.787
0.907 0.203 0.296
0.334 0.547 0.213
0.797 0.093 0.704
0.880 0.666 0.213
0.250 0.750 0.500
0.750 0.250 0.500
0.500 0.500 0.000
0.000 0.000 0.000
```


[3]
SrInGa2Au5 | PBE | optimized geometry

Computed properties:
formation enthalpy at 0 K	-264	meV per atom
total moment	0.00	μB/atom
mass density	9.945	Mg/m³
space group	P4/mmm

Cell and atoms, written as POSCAR:
```
SrInGa2Au5
1.0
-2.495 -4.136 -1.007
1.359 0.332 -4.732
7.439 -4.923 1.792
Ga Sr Au In
2 1 5 1
Direct
0.500 0.500 0.773
0.500 0.500 0.227
0.000 0.000 0.500
0.500 0.000 0.170
0.000 0.500 0.830
0.500 0.500 0.500
0.000 0.500 0.170
0.500 0.000 0.830
0.000 0.000 0.000
```


[4]
Er3Cd2Ga | PBE | optimized geometry

Computed properties:
formation enthalpy at 0 K	-400	meV per atom
total moment	0.00	μB/atom
mass density	9.037	Mg/m³
energy relative to the lowest polymorph listed for this composition	0.000	eV/atom
space group	P4/mmm

Cell and atoms, written as POSCAR:
```
Er3Cd2Ga
1.0
-3.545 -0.657 0.432
0.721 -1.918 2.998
-0.960 9.206 6.121
Er Ga Cd
3 1 2
Direct
0.000 0.000 0.654
0.000 0.000 0.346
0.000 0.000 0.000
0.500 0.500 0.500
0.500 0.500 0.830
0.500 0.500 0.170
```


[5]
HgGeSbC2 | PBE | optimized geometry

Computed properties:
total moment	0.00	μB/atom
mass density	7.537	Mg/m³
DFT total energy	-3.5322	eV per atom
space group	P4/mmm

Cell and atoms, written as POSCAR:
```
HgGeSbC2
1.0
4.084 0.000 0.000
0.000 5.536 0.000
0.000 0.000 4.084
C Hg Sb Ge
2 1 1 1
Direct
0.500 0.000 0.000
0.000 0.000 0.500
0.000 0.500 0.000
0.500 0.500 0.500
0.000 0.000 0.000
```


[6]
TlVAsOs2 | PBE | optimized geometry

Computed properties:
formation enthalpy at 0 K	1728	meV per atom
total moment	0.06	μB/atom
mass density	11.121	Mg/m³
space group	P4/mmm

Cell and atoms, written as POSCAR:
```
TlVAsOs2
1.0
-0.072 -3.176 -3.214
4.903 -1.279 1.154
-1.496 -3.016 3.014
Os V As Tl
2 1 1 1
Direct
0.000 0.000 0.500
0.500 0.000 0.000
0.500 0.500 0.500
0.000 0.000 0.000
0.000 0.500 0.000
```


- Which of these has the lowest mass density?
  LiZnI2O8


- The highest total moment belongs to which entry?
  TlVAsOs2